Cd2SiO4 (PBE-GGA, relaxed); SG = Fd-3m, No. 227; calculated density = 6.1 g cm⁻³; uncorrected energy = -77.893 eV/cell; energy above the lowest structure with this stoichiometry = 134.1 meV/atom; formation energy from raw total energies = -1.69 eV/atom; magnetic moment = 0.00 Bohr magnetons per cell
1.0
0.000 4.408 4.408
4.408 0.000 4.408
4.408 4.408 0.000
Cd Si O
4 2 8
Direct
0.000 0.000 0.000 Cd
0.000 0.000 0.500 Cd
0.000 0.500 0.000 Cd
0.500 0.000 0.000 Cd
0.375 0.375 0.375 Si
0.625 0.625 0.625 Si
0.265 0.265 0.265 O
0.265 0.265 0.705 O
0.265 0.705 0.265 O
0.295 0.735 0.735 O
0.705 0.265 0.265 O
0.735 0.295 0.735 O
0.735 0.735 0.295 O
0.735 0.735 0.735 O